Compound: Rb3ScTl2O6
Source: the Alexandria database
Functional: PBE-GGA
Structure: relaxed

Results
The calculation puts the total energy at -5.15 eV per atom. The raw formation energy comes out at -1.504 eV per atom.

The structure in POSCAR format:
```
Rb3ScTl2O6
1.0
2.991 -5.189 0.000
2.991 5.189 0.000
-1.985 0.000 6.483
Rb Sc Tl O
3 1 2 6
Direct
0.000 0.000 0.000
0.331 0.669 0.000
0.669 0.331 0.000
0.500 0.500 0.500
0.166 0.834 0.500
0.834 0.166 0.500
0.128 0.440 0.320
0.249 0.249 0.681
0.440 0.128 0.320
0.560 0.872 0.680
0.751 0.751 0.319
0.872 0.560 0.680
```